[1]
VASP calculation (PBE-GGA) on HoTi2Ga4 after structural relaxation.

Cell and atoms, written as extended XYZ:
```
7
Lattice="5.466 -0.002 -0.002 2.732 4.768 0.009 2.732 -0.005 4.768" Properties=species:S:1:pos:R:3 pbc="T T T"
Ti 6.833 2.379 2.386
Ga 5.466 1.875 4.771
Ho 0.000 0.000 0.000
Ti 4.097 2.382 2.389
Ga 5.466 4.765 1.889
Ga 5.464 2.886 0.004
Ga 5.464 -0.004 2.886
```

## Properties
Space group: No. 139

[2]
VASP calculation (PBE-GGA) on Ho3Ti5Ga12 after structural relaxation.

Cell and atoms, written as extended XYZ:
```
80
Lattice="13.689 0.000 0.000 -4.563 12.906 0.000 -4.563 -6.453 11.177" Properties=species:S:1:pos:R:3 pbc="T T T"
Ho -3.422 2.420 9.780
Ga 6.044 10.054 3.161
Ga 9.335 -3.110 7.126
Ti 4.563 -3.227 5.589
Ga 7.053 11.516 0.668
Ti 2.281 3.227 5.589
Ga -1.481 -3.601 8.016
Ga -4.953 0.012 9.417
Ho -3.422 -2.420 9.780
Ga -3.943 5.644 6.257
Ho 7.985 8.873 1.397
Ga -0.390 7.971 0.890
Ga 5.183 5.823 8.749
Ga 9.927 2.852 3.161
Ga 0.209 4.500 4.719
Ho 10.267 0.000 2.794
Ga 2.490 -1.953 6.458
Ti 4.563 6.453 0.000
Ga 3.082 5.516 4.699
Ti -2.281 -3.227 5.589
Ho 1.141 6.453 2.794
Ga 2.073 8.406 4.719
Ti 0.000 0.000 0.000
Ga 4.953 -1.518 10.287
Ga 5.364 -0.937 6.478
Ga -1.662 -0.809 4.920
Ho 7.985 4.033 1.397
Ti 1.141 -3.227 8.383
Ga 4.354 1.953 6.458
Ho 3.422 7.260 6.986
Ti 1.141 4.033 9.780
Ho 5.704 0.807 4.191
Ga -0.801 7.390 4.699
Ga -2.490 3.110 7.126
Ga 8.917 1.390 0.668
Ti 5.704 5.646 4.191
Ti 7.985 -0.807 6.986
Ga -0.620 0.630 2.428
Ga -0.390 4.923 0.870
Ga 6.225 7.262 6.257
Ga 6.044 1.916 1.538
Ga 2.671 7.983 0.870
Ga 8.506 0.809 4.920
Ti -1.141 0.807 6.986
Ga -5.364 3.601 8.016
Ti -3.422 7.260 4.191
Ti 3.422 2.420 1.397
Ga -1.481 4.538 9.639
Ti 3.422 9.680 2.794
Ga 1.892 1.518 10.287
Ho 3.422 0.000 8.383
Ga -3.762 10.991 1.538
Ti -4.563 3.227 5.589
Ti 5.704 -4.033 9.780
Ti 6.844 0.000 0.000
Ga 1.662 5.014 7.348
Ga -4.354 5.063 10.509
Ho 1.141 -0.807 4.191
Ga 3.943 -1.439 3.829
Ga 0.620 7.892 7.348
Ga 7.053 3.343 4.051
Ga 7.464 -0.630 2.428
Ti -2.281 6.453 0.000
Ga 4.953 1.530 10.307
Ga -4.772 9.563 4.051
Ti 5.704 3.227 8.383
Ga 6.455 6.465 1.760
Ga -2.901 7.083 8.749
Ga -2.490 -5.063 10.509
Ga 2.901 1.439 3.829
Ga 1.892 -1.530 10.307
Ti -1.141 3.227 2.794
Ho -5.704 6.453 8.383
Ga 2.671 4.935 0.890
Ho -1.141 5.646 6.986
Ti -1.141 10.486 1.397
Ga 9.516 6.441 1.760
Ga 1.481 0.937 6.478
Ga 8.325 -4.538 9.639
Ga -1.892 -0.012 9.417
```

## Properties
Space group: No. 230

[3]
VASP calculation (PBE-GGA) on Ho11Tl9Ga4 after structural relaxation.

Cell and atoms, written as extended XYZ:
```
24
Lattice="-1.189 3.547 -0.335 -12.400 -3.865 3.073 7.244 3.436 10.671" Properties=species:S:1:pos:R:3 pbc="T T T"
Tl 2.112 3.358 7.003
Tl -2.794 1.158 1.114
Ho 4.001 2.231 9.417
Ga -0.449 2.347 5.385
Tl -8.457 -0.239 6.406
Ho -7.290 -1.579 9.136
Ho 2.133 1.151 4.608
Ho -5.161 -1.174 5.873
Ho -3.610 -0.300 9.622
Ho 0.004 0.746 7.871
Ho -9.158 -2.659 4.327
Tl -7.313 -0.145 3.358
Ho -1.547 -0.128 4.122
Tl 0.208 2.273 2.275
Tl -3.551 1.961 12.295
Ho -0.544 0.928 11.745
Ga -5.896 0.772 8.024
Tl 0.968 3.263 10.051
Ho -4.612 -1.356 1.999
Ga -2.004 2.218 9.529
Ho 0.000 0.000 0.000
Tl -3.173 1.559 6.704
Ga -4.341 0.901 3.879
Tl -6.553 0.846 11.133
```

## Properties
Space group: No. 65

[4]
VASP calculation (PBE-GGA) on Ho2TlGa after structural relaxation.

Cell and atoms, written as extended XYZ:
```
4
Lattice="-2.771 -1.261 4.219 -4.907 -1.654 -0.509 -1.179 -4.979 0.945" Properties=species:S:1:pos:R:3 pbc="T T T"
Tl 0.000 0.000 0.000
Ho -2.214 -1.974 1.164
Ga -4.429 -3.947 2.328
Ho -6.643 -5.921 3.491
```

## Properties
Space group: No. 225
Excess energy over the best structure of this formula in the dataset: 2.8 kJ/mol of atoms

[5]
VASP calculation (PBE-GGA) on HoTl2Ga after structural relaxation.

Cell and atoms, written as extended XYZ:
```
4
Lattice="3.463 0.000 0.000 1.731 2.999 0.000 1.731 1.000 11.081" Properties=species:S:1:pos:R:3 pbc="T T T"
Tl 1.731 1.000 7.976
Tl 5.194 2.999 3.106
Ga 3.463 1.999 5.541
Ho 0.000 0.000 0.000
```

## Properties
Space group: No. 166
Excess energy over the best structure of this formula in the dataset: 39.5 kJ/mol of atoms

[6]
VASP calculation (PBE-GGA) on Ho2TlGa after structural relaxation.

Cell and atoms, written as extended XYZ:
```
4
Lattice="3.558 0.000 0.000 0.000 3.558 0.000 0.000 0.000 7.827" Properties=species:S:1:pos:R:3 pbc="T T T"
Ga 1.779 1.779 0.000
Ho 0.000 0.000 6.018
Tl 1.779 1.779 3.913
Ho 0.000 0.000 1.809
```

## Properties
Space group: No. 123
Excess energy over the best structure of this formula in the dataset: 0.0 kJ/mol of atoms

[7]
VASP calculation (PBE-GGA) on Ho2TlGa2 after structural relaxation.

Cell and atoms, written as extended XYZ:
```
10
Lattice="4.379 0.000 0.000 0.000 7.284 0.000 0.000 0.000 7.284" Properties=species:S:1:pos:R:3 pbc="T T T"
Tl 0.000 3.642 3.642
Tl 0.000 0.000 0.000
Ho 2.189 2.392 1.249
Ga 0.000 0.903 2.739
Ga 0.000 2.739 6.380
Ho 2.189 6.034 2.392
Ga 0.000 6.380 4.545
Ga 0.000 4.545 0.903
Ho 2.189 4.891 6.034
Ho 2.189 1.249 4.891
```

## Properties
Space group: No. 127

[8]
VASP calculation (PBE-GGA) on Ho2TlGa after structural relaxation.

Cell and atoms, written as extended XYZ:
```
4
Lattice="3.690 0.000 0.000 1.845 3.196 0.000 1.845 1.065 9.071" Properties=species:S:1:pos:R:3 pbc="T T T"
Tl 3.690 2.131 4.535
Ho 5.535 3.196 6.983
Ho 1.845 1.065 2.088
Ga 0.000 0.000 0.000
```

## Properties
Space group: No. 166
Excess energy over the best structure of this formula in the dataset: 9.7 kJ/mol of atoms

Formation energy from the elements (eV per atom)
-0.536; 0.348; -0.374; -0.420; 0.146; -0.449; -0.516; -0.348